# 1
Material: CeTiCo2H8
Method: DFT, PBE
State: relaxed

Output
* mass density: 5.5 g cm⁻³
* magnetic moment: 0.145 μB/atom
* space-group type: R-3, No. 148
* E_tot: -4.79 eV per atom

Structure (POSCAR):
```
CeTiCo2H8
1.0
2.250 1.299 5.438
-2.250 1.299 5.438
0.000 -2.599 5.438
Ce Ti Co H
1 1 2 8
direct
0.000 0.000 0.000
0.500 0.500 0.500
0.195 0.195 0.195
0.805 0.805 0.805
0.104 0.845 0.398
0.155 0.602 0.896
0.300 0.300 0.300
0.398 0.104 0.845
0.602 0.896 0.155
0.700 0.700 0.700
0.845 0.398 0.104
0.896 0.155 0.602
```

# 2
Material: Ce6Tl2CoH
Method: DFT, PBE
State: relaxed

Output
* mass density: 8.8 g cm⁻³
* magnetic moment: 0.289 μB/atom
* space-group type: I4/mmm, No. 139
* E_tot: -5.26 eV per atom

Structure (POSCAR):
```
Ce6Tl2CoH
1.0
-3.528 3.528 4.989
3.528 -3.528 4.989
3.528 3.528 -4.989
Ce Tl Co H
6 2 1 1
direct
0.244 0.244 0.000
0.268 0.268 0.536
0.268 0.732 0.000
0.732 0.268 0.000
0.732 0.732 0.464
0.756 0.756 0.000
0.250 0.750 0.500
0.750 0.250 0.500
0.000 0.000 0.000
0.500 0.500 0.000
```

# 3
Material: Ce2ZnCo3H12
Method: DFT, PBE
State: relaxed

Output
* mass density: 6.2 g cm⁻³
* magnetic moment: 0.266 μB/atom
* space-group type: R-3m, No. 166
* E_tot: -4.32 eV per atom

Structure (POSCAR):
```
Ce2ZnCo3H12
1.0
2.957 1.707 4.730
-2.957 1.707 4.730
0.000 -3.414 4.730
Ce Zn Co H
2 1 3 12
direct
0.115 0.115 0.115
0.885 0.885 0.885
0.500 0.500 0.500
0.000 0.500 0.500
0.500 0.000 0.500
0.500 0.500 0.000
0.119 0.608 0.608
0.177 0.177 0.623
0.177 0.623 0.177
0.377 0.823 0.823
0.392 0.392 0.881
0.392 0.881 0.392
0.608 0.119 0.608
0.608 0.608 0.119
0.623 0.177 0.177
0.823 0.377 0.823
0.823 0.823 0.377
0.881 0.392 0.392
```

# 4
Material: CeZn2CoH8
Method: DFT, PBE
State: relaxed

Output
* mass density: 5.6 g cm⁻³
* magnetic moment: 0.078 μB/atom
* space-group type: P-1, No. 2
* E_tot: -3.68 eV per atom

Structure (POSCAR):
```
CeZn2CoH8
1.0
4.295 0.000 0.000
0.007 4.537 0.000
0.094 0.470 5.106
Ce Zn Co H
1 2 1 8
direct
0.000 0.000 0.000
0.491 0.415 0.247
0.509 0.585 0.753
0.000 0.500 0.500
0.091 0.515 0.799
0.166 0.199 0.505
0.261 0.718 0.392
0.499 0.954 0.803
0.501 0.046 0.197
0.739 0.282 0.608
0.834 0.801 0.495
0.909 0.485 0.201
```

# 5
Material: CeZnCoH6
Method: DFT, PBE
State: relaxed

Output
* mass density: 6.0 g cm⁻³
* magnetic moment: 0.131 μB/atom
* space-group type: P-6m2, No. 187
* E_tot: -4.07 eV per atom

Structure (POSCAR):
```
CeZnCoH6
1.0
4.414 0.000 0.000
-2.207 3.822 0.000
0.000 0.000 4.404
Ce Zn Co H
1 1 1 6
direct
0.000 0.000 0.000
0.333 0.667 0.500
0.667 0.333 0.500
0.516 0.033 0.239
0.516 0.033 0.761
0.516 0.484 0.239
0.516 0.484 0.761
0.967 0.484 0.239
0.967 0.484 0.761
```

# 6
Material: CeHfCo2
Method: DFT, PBE
State: relaxed

Output
* mass density: 10.1 g cm⁻³
* magnetic moment: 0.000 μB/atom
* energy above the most stable polymorph in this dataset: 8.22 kJ/mol of atoms
* space-group type: R-3m, No. 166
* formation energy: -15.95 kJ/mol of atoms

Structure (POSCAR):
```
CeHfCo2
1.0
2.168 1.252 4.393
-2.168 1.252 4.393
0.000 -2.504 4.393
Ce Hf Co
1 1 2
direct
0.000 0.000 0.000
0.500 0.500 0.500
0.222 0.222 0.222
0.778 0.778 0.778
```

# 7
Material: CeHfCo2
Method: DFT, PBE
State: relaxed

Output
* mass density: 10.6 g cm⁻³
* magnetic moment: 0.093 μB/atom
* energy above the most stable polymorph in this dataset: 0.00 kJ/mol of atoms
* space-group type: P4/mmm, No. 123
* formation energy: -24.17 kJ/mol of atoms

Structure (POSCAR):
```
CeHfCo2
1.0
3.117 0.000 0.000
0.000 3.117 0.000
0.000 0.000 7.035
Ce Hf Co
1 1 2
direct
0.000 0.000 0.000
0.000 0.000 0.500
0.500 0.500 0.288
0.500 0.500 0.712
```

# 8
Material: Ce2HfCo
Method: DFT, PBE
State: relaxed

Output
* mass density: 10.2 g cm⁻³
* magnetic moment: 0.080 μB/atom
* space-group type: R-3m, No. 166
* formation energy: 31.08 kJ/mol of atoms

Structure (POSCAR):
```
Ce2HfCo
1.0
1.529 0.883 10.400
-1.529 0.883 10.400
0.000 -1.765 10.400
Ce Hf Co
2 1 1
direct
0.096 0.096 0.096
0.904 0.904 0.904
0.000 0.000 0.000
0.500 0.500 0.500
```

> magnetic moment of number 7 (CeHfCo2)?

0.093 μB/atom

Copy entry 8 word for word.
Material: Ce2HfCo
Method: DFT, PBE
State: relaxed

Output
* mass density: 10.2 g cm⁻³
* magnetic moment: 0.080 μB/atom
* space-group type: R-3m, No. 166
* formation energy: 31.08 kJ/mol of atoms

Structure (POSCAR):
```
Ce2HfCo
1.0
1.529 0.883 10.400
-1.529 0.883 10.400
0.000 -1.765 10.400
Ce Hf Co
2 1 1
direct
0.096 0.096 0.096
0.904 0.904 0.904
0.000 0.000 0.000
0.500 0.500 0.500
```

> What is the formula in the second record?

Ce6Tl2CoH